# 1
{"formula": "In3CuSe", "functional": "PBE-GGA", "state": "relaxed", "cell": [[5.672, 0.000, 0.000], [0.000, 5.672, 0.000], [0.000, 0.000, 5.672]], "species": ["In", "In", "In", "Cu", "Se"], "fractional_positions": [[0.000, 0.000, 0.500], [0.000, 0.500, 0.000], [0.500, 0.000, 0.000], [0.500, 0.500, 0.500], [0.000, 0.000, 0.000]], "spacegroup": "Pm-3m, No. 221", "polymorph_energy_ev_per_atom": 0.6340}

***

# 2
{"formula": "RbCeIBr3", "functional": "PBE-GGA", "state": "relaxed", "cell": [[7.723, -4.137, 0.000], [7.723, 4.137, 0.000], [-0.305, 0.000, 8.025]], "species": ["Rb", "Rb", "Ce", "Ce", "I", "I", "Br", "Br", "Br", "Br", "Br", "Br"], "fractional_positions": [[0.217, 0.217, 0.227], [0.783, 0.783, 0.773], [0.460, 0.460, 0.783], [0.540, 0.540, 0.217], [0.243, 0.757, 0.500], [0.757, 0.243, 0.500], [0.178, 0.605, 0.050], [0.288, 0.288, 0.649], [0.395, 0.822, 0.950], [0.605, 0.178, 0.050], [0.712, 0.712, 0.351], [0.822, 0.395, 0.950]], "spacegroup": "C2/m, No. 12"}

***

# 3
{"formula": "Mn2V2Si", "functional": "PBE-GGA", "state": "relaxed", "cell": [[-1.524, 1.524, 7.175], [1.524, -1.524, 7.175], [1.524, 1.524, -7.175]], "species": ["Mn", "Mn", "V", "V", "Si"], "fractional_positions": [[0.250, 0.750, 0.500], [0.750, 0.250, 0.500], [0.104, 0.104, 0.000], [0.896, 0.896, 0.000], [0.500, 0.500, 0.000]], "spacegroup": "I4/mmm, No. 139", "polymorph_energy_ev_per_atom": 0.5249}

***

| no. | energy (Ry per atom) | DOS at the Fermi energy (states/eV per cell) | raw formation energy (eV/atom) |
| --- | --- | --- | --- |
| 1 | -0.1866 | 2.9 | 0.6205 |
| 2 | -0.2870 | 9.6 | -1.6593 |
| 3 | -0.5977 | 6.4 | 0.2672 |